VASP calculation (PBE) on an optimized crystal structure of Ba2MnTl.

```
4
Lattice="2.108 1.217 10.297 -2.108 1.217 10.297 0.000 -2.435 10.297" Properties=species:S:1:pos:R:3 pbc="T T T"
Ba 0.000 0.000 7.543
Ba 0.000 0.000 23.349
Mn 0.000 0.000 15.446
Tl 0.000 0.000 0.000
```

Results
- V (Å³ per atom) = 39.64
- N(E_F) (states/eV/atom) = 0.91
- crystal system = trigonal
- ΔE_f (eV/atom) = 0.32